# La2Ga2Cu (PBE, optimized geometry)
# - Volume: 482 Å³ per cell
# - ΔH_f (0 K): -0.50 eV/atom
# - Polymorph energy (0 for the lowest one): 0.000 eV per atom
data_La2Ga2Cu
_chemical_formula_sum 'La8 Ga8 Cu4'
_symmetry_space_group_name_H-M 'C 1 2/m 1'
_symmetry_Int_Tables_number 12
_symmetry_space_group_name_Hall '-C 2y'
_cell_length_a 10.757
_cell_length_b 4.604
_cell_length_c 10.974
_cell_angle_alpha 90.00
_cell_angle_beta 117.54
_cell_angle_gamma 90.00
loop_
_atom_site_label
_atom_site_type_symbol
_atom_site_fract_x
_atom_site_fract_y
_atom_site_fract_z
La1 La 0.082 0.000 0.388
La2 La 0.189 0.500 0.166
Ga1 Ga 0.083 0.000 0.940
Ga2 Ga 0.125 0.500 0.614
Cu1 Cu 0.121 0.500 0.851